# 1
A relaxed structure of Hf3Zr2Zn. Source: Alexandria via LeMat-Bulk, functional GGA-PBE.

Cell: 4.355 4.403 6.996 Å, 108.34 90.00 90.00°
Sites, in units of the cell vectors:
1 Hf 0.500 0.163 0.326
2 Hf 0.500 0.500 0.000
3 Hf 0.500 0.837 0.674
4 Zr 0.000 0.663 0.327
5 Zr 0.000 0.337 0.673
6 Zn 0.000 0.000 0.000

The calculation puts the raw total energy at -8.06 eV/atom. For the formation enthalpy at 0 K, the calculation gives -0.023 eV/atom.

---

# 2
A relaxed structure of Hf2ZrZn6. Source: Alexandria via LeMat-Bulk, functional GGA-PBE.

Cell: 3.150 7.509 7.509 Å, 120.00 90.00 90.00°
Sites, in units of the cell vectors:
1 Hf 0.000 0.333 0.666
2 Hf 0.000 0.667 0.334
3 Zr 0.000 0.000 0.000
4 Zn 0.500 0.334 0.334
5 Zn 0.500 0.666 0.666
6 Zn 0.500 0.000 0.666
7 Zn 0.500 0.666 0.000
8 Zn 0.500 0.334 0.000
9 Zn 0.500 0.000 0.334

The calculation puts the raw total energy at -4.26 eV/atom. For the formation enthalpy at 0 K, the calculation gives -0.249 eV/atom.

---

# 3
A relaxed structure of HfZrZn. Source: Alexandria via LeMat-Bulk, functional GGA-PBE.

Cell: 4.873 5.534 5.501 Å, 78.76 63.71 63.88°
Sites, in units of the cell vectors:
1 Zn 0.750 0.500 0.500
2 Zn 0.250 0.500 0.500
3 Hf 0.848 0.303 0.000
4 Hf 0.152 0.697 0.000
5 Zr 0.651 0.000 0.699
6 Zr 0.349 0.000 0.301

The calculation puts the raw total energy at -6.74 eV/atom. As for the energy above the lowest structure with this stoichiometry: 28.9 meV per atom. For the formation enthalpy at 0 K, the calculation gives -0.146 eV/atom.